# 1
K2Rb6HAu | PBE-GGA | relaxed

Results
space-group type	Cm
E_tot	-1.50	eV per atom

a b c (Å): 9.506 9.506 9.532
angles (deg): 119.81 119.81 90.10
Fractional positions:
1 K 0.250 0.750 0.000
2 K 0.750 0.250 0.000
3 Rb 0.237 0.237 0.500
4 Rb 0.238 0.760 0.500
5 Rb 0.239 0.239 0.980
6 Rb 0.759 0.759 0.020
7 Rb 0.760 0.238 0.500
8 Rb 0.760 0.760 0.500
9 H 0.000 0.000 0.500
10 Au 0.498 0.498 0.500


# 2
K3YNp3Se8 | PBE-GGA | relaxed

Results
space-group type	R-3m
formation energy from raw total energies	-1.375	eV per atom

a b c (Å): 9.159 9.159 9.159
angles (deg): 54.75 54.75 54.75
Fractional positions:
1 K 0.000 0.500 0.500
2 K 0.500 0.000 0.500
3 K 0.500 0.500 0.000
4 Y 0.500 0.500 0.500
5 Np 0.000 0.000 0.500
6 Np 0.000 0.500 0.000
7 Np 0.500 0.000 0.000
8 Se 0.232 0.734 0.734
9 Se 0.234 0.234 0.234
10 Se 0.266 0.266 0.768
11 Se 0.266 0.768 0.266
12 Se 0.734 0.232 0.734
13 Se 0.734 0.734 0.232
14 Se 0.766 0.766 0.766
15 Se 0.768 0.266 0.266


> Number 2 is which compound?

K3YNp3Se8